No. 1
A plane-wave DFT calculation with GGA-PBEsol was carried out for a relaxed Rb2YInI6 crystal.

The structure belongs to space group Fm-3m (No. 225); the cell edges are 12.4039, 12.4039 and 12.4039 Å and the angles 90.00°, 90.00° and 90.00°. The inequivalent atoms are Rb at (0.2500, 0.2500, 0.2500), Y at (0.0000, 0.0000, 0.0000), In at (0.0000, 0.0000, 0.5000) and I at (0.0000, 0.0000, 0.2400).

The uncorrected formation energy comes out at -1179 meV per atom. The value obtained for the total magnetization is 0.0 μB/f.u. The value obtained for the final energy is -3.425 eV per atom.

No. 2
A plane-wave DFT calculation with GGA-PBEsol was carried out for a relaxed CsNdMo2O8 crystal.

The structure belongs to space group C2/c (No. 15); the cell edges are 10.7744, 10.6579 and 7.7620 Å and the angles 90.00°, 130.71° and 90.00°. The inequivalent atoms are Cs at (0.0000, 0.1947, 0.2500), Nd at (0.0000, 0.2297, 0.7500), Mo at (0.1910, 0.4988, 0.7334), O at (0.0258, 0.3950, 0.9751), O at (0.1349, 0.0726, 0.7005), O at (0.1850, 0.4305, 0.4301) and O at (0.2352, 0.1568, 0.1361).

The uncorrected formation energy comes out at -2429 meV per atom. The value obtained for the total magnetization is 0.0 μB/f.u. The value obtained for the final energy is -8.399 eV per atom.

No. 3
A plane-wave DFT calculation with GGA-PBEsol was carried out for a relaxed TiNbGeRh2 crystal.

The structure belongs to space group P4/mmm (No. 123); the cell edges are 4.4012, 4.4012 and 4.7213 Å and the angles 90.00°, 90.00° and 90.00°. The inequivalent atoms are Ti at (0.0000, 0.0000, 0.0000), Nb at (0.5000, 0.5000, 0.0000), Ge at (0.5000, 0.5000, 0.5000) and Rh at (0.0000, 0.5000, 0.5000).

The value obtained for the total magnetization is 0.0 μB/f.u. The calculation puts the formation energy at 2.84 eV per formula unit. The value obtained for the final energy is -7.503 eV per atom.

Which DOS at the Fermi energy belongs to each record? In order, 0.0 0.0 6.6 states/eV per cell.